[1]
Computed, not measured: CuAsRh2 after structural relaxation at the PBE-GGA level of DFT.

Results
**DFT formation energy**: -0.1079 eV per atom
**Volume**: 14.3 Å³/atom

```
CuAsRh2
1.0
4.278 -0.007 -0.002
3.240 2.792 -0.002
0.981 0.364 4.780
As Cu Rh
1 1 2
direct
0.750 0.750 0.750 As
0.250 0.250 0.250 Cu
0.004 0.004 0.994 Rh
0.496 0.496 0.506 Rh
```

[2]
Computed, not measured: CrCoAs2Ir after structural relaxation at the PBE-GGA level of DFT.

Results
**DFT formation energy**: 1.3979 eV per atom
**Volume**: 20.9 Å³/atom

```
CrCoAs2Ir
1.0
-3.949 -1.993 -1.712
0.517 -3.554 2.945
-2.573 2.314 3.243
Cr As Ir Co
1 2 1 1
direct
0.000 0.500 0.000 Cr
0.000 0.000 0.500 As
0.500 0.000 0.000 As
0.000 0.000 0.000 Ir
0.500 0.500 0.500 Co
```

[3]
Computed, not measured: La4PmSm2Tm after structural relaxation at the PBE-GGA level of DFT.

Results
**DFT formation energy**: 0.0881 eV per atom
**Volume**: 35.1 Å³/atom

```
La4PmSm2Tm
1.0
6.045 0.001 0.000
0.001 5.826 1.630
0.001 3.758 9.019
La Pm Sm Tm
4 1 2 1
direct
0.000 0.759 0.743 La
0.000 0.241 0.257 La
0.500 0.742 0.259 La
0.500 0.258 0.741 La
0.500 0.500 0.000 Pm
0.000 0.000 0.000 Sm
0.500 0.000 0.500 Sm
0.000 0.500 0.500 Tm
```

[4]
Computed, not measured: Ce2Cd2In after structural relaxation at the PBE-GGA level of DFT.

Results
**DFT formation energy**: -0.2025 eV per atom
**Volume**: 25.4 Å³/atom

```
Ce2Cd2In
1.0
-5.051 -0.396 -3.049
0.866 -7.091 -6.248
0.081 -12.020 -4.307
Ce Cd In
4 4 2
direct
0.479 0.871 0.917 Ce
0.733 0.371 0.417 Ce
0.521 0.129 0.083 Ce
0.267 0.629 0.583 Ce
0.316 0.018 0.584 Cd
0.918 0.482 0.916 Cd
0.684 0.982 0.416 Cd
0.082 0.518 0.084 Cd
0.143 0.750 0.250 In
0.857 0.250 0.750 In
```

[5]
Computed, not measured: KMn3Fe after structural relaxation at the PBE-GGA level of DFT.

Results
**Distance to the lowest polymorph of the same formula**: 2106.3 meV per atom
**DFT formation energy**: 3.1381 eV per atom
**Volume**: 13.7 Å³/atom

```
KMn3Fe
1.0
4.088 0.000 0.000
0.000 4.088 0.000
0.000 0.000 4.088
K Mn Fe
1 3 1
direct
0.000 0.000 0.000 K
0.000 0.500 0.000 Mn
0.000 0.000 0.500 Mn
0.500 0.000 0.000 Mn
0.500 0.500 0.500 Fe
```

[6]
Computed, not measured: La6DyHo2Er after structural relaxation at the PBE-GGA level of DFT.

Results
**DFT formation energy**: 0.1095 eV per atom
**Volume**: 34.9 Å³/atom

```
La6DyHo2Er
1.0
1.800 -3.367 -9.010
-5.956 -6.483 1.976
-3.210 7.932 -2.863
La Dy Ho Er
12 2 4 2
direct
0.051 0.110 0.760 La
0.449 0.240 0.890 La
0.949 0.890 0.240 La
0.551 0.760 0.110 La
0.306 0.997 0.438 La
0.194 0.562 0.003 La
0.694 0.003 0.562 La
0.806 0.438 0.997 La
0.120 0.704 0.492 La
0.380 0.508 0.296 La
0.880 0.296 0.508 La
0.620 0.492 0.704 La
0.250 0.975 0.025 Dy
0.750 0.025 0.975 Dy
0.454 0.803 0.708 Ho
0.046 0.292 0.197 Ho
0.546 0.197 0.292 Ho
0.954 0.708 0.803 Ho
0.250 0.412 0.588 Er
0.750 0.588 0.412 Er
```

[7]
Computed, not measured: BrOF after structural relaxation at the PBE-GGA level of DFT.

Results
**Distance to the lowest polymorph of the same formula**: 22.4 meV per atom
**Volume**: 26.9 Å³/atom

```
BrOF
1.0
6.880 0.000 1.114
3.341 3.397 1.156
2.286 1.108 7.489
Br O F
2 2 2
direct
0.821 0.342 0.017 Br
0.179 0.658 0.983 Br
0.910 0.652 0.528 O
0.090 0.348 0.472 O
0.591 0.615 0.204 F
0.409 0.385 0.796 F
```

[8]
Computed, not measured: Ac2GeAs3Ir4 after structural relaxation at the PBE-GGA level of DFT.

Results
**DFT formation energy**: -0.7274 eV per atom
**Volume**: 19.7 Å³/atom

```
Ac2GeAs3Ir4
1.0
4.360 0.000 0.000
0.000 4.360 0.000
0.000 0.000 10.385
Ac Ge As Ir
2 1 3 4
direct
0.500 0.000 0.253 Ac
0.000 0.500 0.747 Ac
0.500 0.500 0.500 Ge
0.000 0.000 0.500 As
0.500 0.000 0.864 As
0.000 0.500 0.136 As
0.500 0.500 0.000 Ir
0.000 0.000 0.000 Ir
0.500 0.000 0.622 Ir
0.000 0.500 0.378 Ir
```

[9]
Computed, not measured: Tl5CdPb2 after structural relaxation at the PBE-GGA level of DFT.

Results
**Distance to the lowest polymorph of the same formula**: 15.7 meV per atom
**DFT formation energy**: 0.0340 eV per atom
**Volume**: 30.8 Å³/atom

```
Tl5CdPb2
1.0
4.847 0.000 0.000
-2.423 5.705 0.000
0.000 0.000 17.815
Tl Cd Pb
10 2 4
direct
0.953 0.906 0.904 Tl
0.953 0.906 0.596 Tl
0.352 0.705 0.471 Tl
0.352 0.705 0.029 Tl
0.465 0.930 0.250 Tl
0.535 0.070 0.750 Tl
0.648 0.295 0.529 Tl
0.648 0.295 0.971 Tl
0.047 0.094 0.096 Tl
0.047 0.094 0.404 Tl
0.828 0.656 0.750 Cd
0.172 0.344 0.250 Cd
0.765 0.529 0.347 Pb
0.765 0.529 0.153 Pb
0.235 0.471 0.653 Pb
0.235 0.471 0.847 Pb
```

[10]
Computed, not measured: PIrAu2 after structural relaxation at the PBE-GGA level of DFT.

Results
**DFT formation energy**: 0.0389 eV per atom
**Volume**: 16.9 Å³/atom

```
PIrAu2
1.0
2.906 0.000 0.000
0.000 2.906 0.000
0.000 0.000 8.013
Au Ir P
2 1 1
direct
0.000 0.000 0.003 Au
0.500 0.500 0.266 Au
0.000 0.000 0.537 Ir
0.500 0.500 0.695 P
```

Number 1: total magnetization 0.00 μB/cell, calculated total energy -23.88 eV/cell. Number 2: total magnetization 1.84 μB/cell, calculated total energy -27.90 eV/cell. Number 3: total magnetization 0.00 μB/cell, calculated total energy -37.67 eV/cell. Number 4: total magnetization 4.67 μB/cell, calculated total energy -34.90 eV/cell. Number 5: total magnetization 0.00 μB/cell, calculated total energy -21.38 eV/cell. Number 6: total magnetization 0.00 μB/cell, calculated total energy -93.58 eV/cell. Number 7: total magnetization 2.04 μB/cell, calculated total energy -18.72 eV/cell. Number 8: total magnetization 0.00 μB/cell, calculated total energy -69.50 eV/cell. Number 9: total magnetization 0.00 μB/cell, calculated total energy -39.78 eV/cell. Number 10: total magnetization 0.00 μB/cell, calculated total energy -20.67 eV/cell.